Material: In2IrPt
Method: DFT, SCAN
State: single point on PBEsol structure

a = 5.2572 Å, b = 5.2572 Å, c = 5.2572 Å
α = 136.42°, β = 136.42°, γ = 63.33°
Fractional coordinates of all 4 atoms:
In 0.0000 0.0000 0.0000
In 0.7500 0.2500 0.5000
Ir 0.5000 0.5000 0.0000
Pt 0.2500 0.7500 0.5000

Results
symmetry = I-4m2
magnetization = 0.000 μB per atom
calculated volume = 17.04 Å³/atom
calculated formation energy = -0.44 eV/f.u.

=====

Material: GeH3Cl
Method: DFT, SCAN
State: single point on PBEsol structure

a = 4.3986 Å, b = 4.3986 Å, c = 7.9390 Å
α = 90.00°, β = 90.00°, γ = 75.55°
Fractional coordinates of all 10 atoms:
Ge 0.0460 0.9540 0.5000
Ge 0.9540 0.0460 0.0000
H 0.0729 0.2974 0.0926
H 0.2002 0.7998 0.9055
H 0.2974 0.0729 0.5926
H 0.7026 0.9271 0.0926
H 0.7998 0.2002 0.4055
H 0.9271 0.7026 0.5926
Cl 0.3214 0.6786 0.2888
Cl 0.6786 0.3214 0.7888

Results
E = -76.84 eV for the cell shown
symmetry = Cmc2_1
magnetization = 0.000 μB per atom
calculated volume = 14.87 Å³/atom

=====

Material: Li2PmPb
Method: DFT, SCAN
State: single point on PBEsol structure

a = 4.8676 Å, b = 4.8676 Å, c = 4.8676 Å
α = 60.00°, β = 60.00°, γ = 60.00°
Fractional coordinates of all 4 atoms:
Li 0.2500 0.2500 0.2500
Li 0.7500 0.7500 0.7500
Pm 0.0000 0.0000 0.0000
Pb 0.5000 0.5000 0.5000

Results
symmetry = Fm-3m
magnetization = 0.000 μB per atom
calculated volume = 20.39 Å³/atom
calculated formation energy = -1.93 eV/f.u.